Model P:
Crystalline SmHfTh2 at its relaxed geometry, computed with PBE-GGA.

a = 11.503 Å, b = 11.503 Å, c = 11.503 Å
α = 17.41°, β = 17.41°, γ = 17.41°
Positions (direct):
Sm 0.000 0.000 0.000
Hf 0.169 0.169 0.169
Th 0.581 0.581 0.581
Th 0.756 0.756 0.756

Calculated values
Total moment = 0.000 μB/atom

=====

Model Q:
Crystalline SmHfTh2 at its relaxed geometry, computed with PBE-GGA.

a = 4.935 Å, b = 4.935 Å, c = 4.898 Å
α = 90.00°, β = 90.00°, γ = 90.00°
Positions (direct):
Sm 0.000 0.000 0.000
Hf 0.500 0.500 0.000
Th 0.000 0.500 0.500
Th 0.500 0.000 0.500

Calculated values
Total moment = 0.000 μB/atom

=====

Stability comparison, relative energies in eV/atom: model P 0.000; model Q 0.015

=====

Model P:
Crystalline SmHf2Ti at its relaxed geometry, computed with PBE-GGA.

a = 11.222 Å, b = 11.222 Å, c = 11.222 Å
α = 16.11°, β = 16.11°, γ = 16.11°
Positions (direct):
Sm 0.000 0.000 0.000
Hf 0.096 0.096 0.096
Hf 0.904 0.904 0.904
Ti 0.500 0.500 0.500

Calculated values
Total moment = 0.000 μB/atom

=====

Model Q:
Crystalline SmHf2Ti at its relaxed geometry, computed with PBE-GGA.

a = 3.597 Å, b = 3.597 Å, c = 7.294 Å
α = 90.00°, β = 90.00°, γ = 90.00°
Positions (direct):
Sm 0.000 0.000 0.000
Hf 0.500 0.500 0.301
Hf 0.500 0.500 0.699
Ti 0.000 0.000 0.500

Calculated values
Total moment = 0.000 μB/atom

=====

Stability comparison, relative energies in eV/atom: model P 0.095; model Q 0.000

=====

Model P:
Crystalline SmHfTl2 at its relaxed geometry, computed with PBE-GGA.

a = 3.374 Å, b = 3.374 Å, c = 8.830 Å
α = 90.00°, β = 90.00°, γ = 90.00°
Positions (direct):
Sm 0.000 0.000 0.000
Hf 0.000 0.000 0.500
Tl 0.500 0.500 0.265
Tl 0.500 0.500 0.735

Calculated values
Total moment = 0.000 μB/atom

=====

Model Q:
Crystalline SmHfTl2 at its relaxed geometry, computed with PBE-GGA.

a = 5.252 Å, b = 5.252 Å, c = 5.252 Å
α = 60.00°, β = 60.00°, γ = 60.00°
Positions (direct):
Sm 0.000 0.000 0.000
Hf 0.500 0.500 0.500
Tl 0.250 0.250 0.250
Tl 0.750 0.750 0.750

Calculated values
Total moment = 0.088 μB/atom

=====

Stability comparison, relative energies in eV/atom: model P 0.000; model Q 0.080

=====

Model P:
Crystalline Sm2HfTl at its relaxed geometry, computed with PBE-GGA.

a = 12.110 Å, b = 12.110 Å, c = 12.110 Å
α = 15.80°, β = 15.80°, γ = 15.80°
Positions (direct):
Sm 0.088 0.088 0.088
Sm 0.912 0.912 0.912
Hf 0.000 0.000 0.000
Tl 0.500 0.500 0.500

Calculated values
Total moment = 0.110 μB/atom

=====

Model Q:
Crystalline Sm2HfTl at its relaxed geometry, computed with PBE-GGA.

a = 3.421 Å, b = 3.421 Å, c = 9.612 Å
α = 90.00°, β = 90.00°, γ = 90.00°
Positions (direct):
Sm 0.000 0.000 0.248
Sm 0.000 0.000 0.752
Hf 0.500 0.500 0.000
Tl 0.500 0.500 0.500

Calculated values
Total moment = 0.000 μB/atom

=====

Model R:
Crystalline Sm2HfTl at its relaxed geometry, computed with PBE-GGA.

a = 4.749 Å, b = 4.749 Å, c = 4.780 Å
α = 90.00°, β = 90.00°, γ = 90.00°
Positions (direct):
Sm 0.000 0.500 0.000
Sm 0.500 0.000 0.000
Hf 0.000 0.000 0.500
Tl 0.500 0.500 0.500

Calculated values
Total moment = 0.000 μB/atom

=====

Stability comparison, relative energies in eV/atom: model P 0.363; model Q 0.000; model R 0.042

=====

Model P:
Crystalline SmTmHf2 at its relaxed geometry, computed with PBE-GGA.

a = 11.115 Å, b = 11.115 Å, c = 11.115 Å
α = 17.14°, β = 17.14°, γ = 17.14°
Positions (direct):
Sm 0.000 0.000 0.000
Tm 0.500 0.500 0.500
Hf 0.249 0.249 0.249
Hf 0.751 0.751 0.751

Calculated values
Total moment = 0.000 μB/atom

=====

Model Q:
Crystalline SmTmHf2 at its relaxed geometry, computed with PBE-GGA.

a = 4.677 Å, b = 4.677 Å, c = 4.769 Å
α = 90.00°, β = 90.00°, γ = 90.00°
Positions (direct):
Sm 0.000 0.000 0.000
Tm 0.500 0.500 0.000
Hf 0.000 0.500 0.500
Hf 0.500 0.000 0.500

Calculated values
Total moment = 0.000 μB/atom

=====

Stability comparison, relative energies in eV/atom: model P 0.006; model Q 0.000

=====

Model P:
Crystalline SmYHf at its relaxed geometry, computed with PBE-GGA.

a = 3.416 Å, b = 3.416 Å, c = 8.491 Å
α = 90.00°, β = 90.00°, γ = 120.00°
Positions (direct):
Sm 0.000 0.000 0.000
Y 0.333 0.667 0.623
Hf 0.667 0.333 0.313

Calculated values
Total moment = 0.000 μB/atom

=====

Model Q:
Crystalline SmYHf at its relaxed geometry, computed with PBE-GGA.

a = 7.920 Å, b = 7.920 Å, c = 7.920 Å
α = 155.35°, β = 155.35°, γ = 35.14°
Positions (direct):
Sm 0.000 0.000 0.000
Y 0.692 0.692 0.000
Hf 0.344 0.344 0.000

Calculated values
Total moment = 0.000 μB/atom

=====

Model R:
Crystalline SmYHf at its relaxed geometry, computed with PBE-GGA.

a = 3.749 Å, b = 3.749 Å, c = 12.773 Å
α = 90.00°, β = 90.00°, γ = 90.00°
Positions (direct):
Sm 0.250 0.250 0.094
Sm 0.750 0.750 0.906
Y 0.250 0.250 0.704
Y 0.750 0.750 0.296
Hf 0.250 0.250 0.449
Hf 0.750 0.750 0.551

Calculated values
Total moment = 0.000 μB/atom

=====

Stability comparison, relative energies in eV/atom: model P 0.036; model Q 0.020; model R 0.000

=====

Model P:
Crystalline Sm2YHf at its relaxed geometry, computed with PBE-GGA.

a = 4.025 Å, b = 4.025 Å, c = 7.357 Å
α = 90.00°, β = 90.00°, γ = 90.00°
Positions (direct):
Sm 0.000 0.000 0.222
Sm 0.000 0.000 0.778
Y 0.500 0.500 0.500
Hf 0.500 0.500 0.000

Calculated values
Total moment = 0.000 μB/atom

=====

Model Q:
Crystalline Sm2YHf at its relaxed geometry, computed with PBE-GGA.

a = 11.619 Å, b = 11.619 Å, c = 11.619 Å
α = 17.13°, β = 17.13°, γ = 17.13°
Positions (direct):
Sm 0.244 0.244 0.244
Sm 0.756 0.756 0.756
Y 0.000 0.000 0.000
Hf 0.500 0.500 0.500

Calculated values
Total moment = 0.000 μB/atom

=====

Model R:
Crystalline Sm2YHf at its relaxed geometry, computed with PBE-GGA.

a = 4.926 Å, b = 4.926 Å, c = 4.865 Å
α = 90.00°, β = 90.00°, γ = 90.00°
Positions (direct):
Sm 0.000 0.500 0.000
Sm 0.500 0.000 0.000
Y 0.000 0.000 0.500
Hf 0.500 0.500 0.500

Calculated values
Total moment = 0.000 μB/atom

=====

Stability comparison, relative energies in eV/atom: model P 0.061; model Q 0.000; model R 0.015

=====

Model P:
Crystalline Sm2HfZn at its relaxed geometry, computed with PBE-GGA.

a = 11.606 Å, b = 11.606 Å, c = 11.606 Å
α = 16.18°, β = 16.18°, γ = 16.18°
Positions (direct):
Sm 0.095 0.095 0.095
Sm 0.905 0.905 0.905
Hf 0.000 0.000 0.000
Zn 0.500 0.500 0.500

Calculated values
Total moment = 0.000 μB/atom

=====

Model Q:
Crystalline Sm2HfZn at its relaxed geometry, computed with PBE-GGA.

a = 3.428 Å, b = 3.428 Å, c = 8.755 Å
α = 90.00°, β = 90.00°, γ = 90.00°
Positions (direct):
Sm 0.000 0.000 0.232
Sm 0.000 0.000 0.768
Hf 0.500 0.500 0.500
Zn 0.500 0.500 0.000

Calculated values
Total moment = 0.000 μB/atom

=====

Stability comparison, relative energies in eV/atom: model P 0.388; model Q 0.000

=====

Model P:
Crystalline SrHf2Sn2 at its relaxed geometry, computed with PBE-GGA.

a = 6.322 Å, b = 6.322 Å, c = 6.322 Å
α = 128.57°, β = 128.57°, γ = 75.70°
Positions (direct):
Sr 0.000 0.000 0.000
Hf 0.340 0.340 0.000
Hf 0.660 0.660 0.000
Sn 0.250 0.750 0.500
Sn 0.750 0.250 0.500

Calculated values
Total moment = 0.000 μB/atom

=====

Model Q:
Crystalline SrHf2Sn2 at its relaxed geometry, computed with PBE-GGA.

a = 8.848 Å, b = 8.848 Å, c = 3.228 Å
α = 90.00°, β = 90.00°, γ = 90.00°
Positions (direct):
Sr 0.000 0.000 0.000
Sr 0.500 0.500 0.000
Hf 0.119 0.381 0.000
Hf 0.381 0.881 0.000
Hf 0.619 0.119 0.000
Hf 0.881 0.619 0.000
Sn 0.173 0.673 0.500
Sn 0.327 0.173 0.500
Sn 0.673 0.827 0.500
Sn 0.827 0.327 0.500

Calculated values
Total moment = 0.000 μB/atom

=====

Stability comparison, relative energies in eV/atom: model P 0.246; model Q 0.000

=====

Model P:
Crystalline SrHfSn3 at its relaxed geometry, computed with PBE-GGA.

a = 5.534 Å, b = 5.534 Å, c = 5.534 Å
α = 90.00°, β = 90.00°, γ = 90.00°
Positions (direct):
Sr 0.000 0.000 0.000
Hf 0.500 0.500 0.500
Sn 0.000 0.500 0.500
Sn 0.500 0.000 0.500
Sn 0.500 0.500 0.000

Calculated values
Total moment = 0.000 μB/atom

=====

Model Q:
Crystalline SrHfSn3 at its relaxed geometry, computed with PBE-GGA.

a = 5.705 Å, b = 5.705 Å, c = 5.705 Å
α = 90.00°, β = 90.00°, γ = 90.00°
Positions (direct):
Sr 0.000 0.000 0.000
Hf 0.500 0.500 0.500
Sn 0.000 0.000 0.500
Sn 0.000 0.500 0.000
Sn 0.500 0.000 0.000

Calculated values
Total moment = 0.000 μB/atom

=====

Stability comparison, relative energies in eV/atom: model P 0.000; model Q 1.464

=====

Model P:
Crystalline HfTaSn2 at its relaxed geometry, computed with PBE-GGA.

a = 6.282 Å, b = 6.282 Å, c = 6.282 Å
α = 103.47°, β = 103.47°, γ = 122.29°
Positions (direct):
Hf 0.000 0.000 0.000
Hf 0.750 0.250 0.500
Ta 0.250 0.750 0.500
Ta 0.500 0.500 0.000
Sn 0.134 0.625 0.009
Sn 0.375 0.384 0.509
Sn 0.616 0.125 0.991
Sn 0.875 0.866 0.491

Calculated values
Total moment = 0.000 μB/atom

=====

Model Q:
Crystalline HfTaSn2 at its relaxed geometry, computed with PBE-GGA.

a = 4.908 Å, b = 4.908 Å, c = 4.908 Å
α = 60.00°, β = 60.00°, γ = 60.00°
Positions (direct):
Hf 0.000 0.000 0.000
Ta 0.500 0.500 0.500
Sn 0.250 0.250 0.250
Sn 0.750 0.750 0.750

Calculated values
Total moment = 0.000 μB/atom

=====

Model R:
Crystalline HfTaSn2 at its relaxed geometry, computed with PBE-GGA.

a = 7.124 Å, b = 7.124 Å, c = 7.124 Å
α = 32.65°, β = 32.65°, γ = 32.65°
Positions (direct):
Hf 0.000 0.000 0.000
Ta 0.500 0.500 0.500
Sn 0.247 0.247 0.247
Sn 0.753 0.753 0.753

Calculated values
Total moment = 0.000 μB/atom

=====

Stability comparison, relative energies in eV/atom: model P 0.188; model Q 0.000; model R 0.140

=====

Model P:
Crystalline Hf3TcSn at its relaxed geometry, computed with PBE-GGA.

a = 4.979 Å, b = 4.979 Å, c = 4.979 Å
α = 90.00°, β = 90.00°, γ = 90.00°
Positions (direct):
Hf 0.000 0.000 0.500
Hf 0.000 0.500 0.000
Hf 0.500 0.000 0.000
Tc 0.000 0.000 0.000
Sn 0.500 0.500 0.500

Calculated values
Total moment = 0.000 μB/atom

=====

Model Q:
Crystalline Hf3TcSn at its relaxed geometry, computed with PBE-GGA.

a = 5.153 Å, b = 5.153 Å, c = 5.153 Å
α = 90.00°, β = 90.00°, γ = 90.00°
Positions (direct):
Hf 0.000 0.000 0.500
Hf 0.000 0.500 0.000
Hf 0.500 0.000 0.000
Tc 0.500 0.500 0.500
Sn 0.000 0.000 0.000

Calculated values
Total moment = 0.250 μB/atom

=====

Stability comparison, relative energies in eV/atom: model P 0.000; model Q 1.252